Compound: Li4Ti4Mn4VO18
Source: Alexandria
Functional: PBE+U
Structure: relaxed

Properties
As for the energy: -0.27945 hartree per atom.

a = 9.152 Å, b = 26.957 Å, c = 2.910 Å
α = 90.00°, β = 90.00°, γ = 90.00°
Element x y z (fractional)
1 Li 0.198 0.176 0.000
2 Li 0.211 0.972 0.000
3 Li 0.289 0.472 0.000
4 Li 0.302 0.676 0.000
5 Li 0.698 0.324 0.000
6 Li 0.711 0.528 0.000
7 Li 0.789 0.028 0.000
8 Li 0.802 0.824 0.000
9 Ti 0.017 0.894 0.000
10 Ti 0.162 0.806 0.500
11 Ti 0.338 0.306 0.500
12 Ti 0.483 0.394 0.000
13 Ti 0.517 0.606 0.000
14 Ti 0.662 0.694 0.500
15 Ti 0.838 0.194 0.500
16 Ti 0.983 0.106 0.000
17 Mn 0.004 0.692 0.000
18 Mn 0.164 0.586 0.500
19 Mn 0.336 0.086 0.500
20 Mn 0.496 0.192 0.000
21 Mn 0.504 0.808 0.000
22 Mn 0.664 0.914 0.500
23 Mn 0.836 0.414 0.500
24 Mn 0.996 0.308 0.000
25 V 0.000 0.500 0.000
26 V 0.500 0.000 0.000
27 O 0.026 0.572 0.000
28 O 0.035 0.157 0.500
29 O 0.074 0.936 0.500
30 O 0.113 0.763 0.000
31 O 0.129 0.292 0.500
32 O 0.129 0.667 0.500
33 O 0.145 0.495 0.500
34 O 0.195 0.091 0.000
35 O 0.197 0.856 0.000
36 O 0.303 0.356 0.000
37 O 0.305 0.591 0.000
38 O 0.355 0.995 0.500
39 O 0.371 0.167 0.500
40 O 0.371 0.792 0.500
41 O 0.387 0.263 0.000
42 O 0.426 0.436 0.500
43 O 0.465 0.657 0.500
44 O 0.474 0.072 0.000
45 O 0.526 0.928 0.000
46 O 0.535 0.343 0.500
47 O 0.574 0.564 0.500
48 O 0.613 0.737 0.000
49 O 0.629 0.208 0.500
50 O 0.629 0.833 0.500
51 O 0.645 0.005 0.500
52 O 0.695 0.409 0.000
53 O 0.697 0.644 0.000
54 O 0.803 0.144 0.000
55 O 0.805 0.909 0.000
56 O 0.855 0.505 0.500
57 O 0.871 0.333 0.500
58 O 0.871 0.708 0.500
59 O 0.887 0.237 0.000
60 O 0.926 0.064 0.500
61 O 0.965 0.843 0.500
62 O 0.974 0.428 0.000